Material: Hf2ZnRe
Method: DFT, PBE
State: optimized geometry

a = 3.1564 Å, b = 3.1564 Å, c = 29.4556 Å
α = 90.00°, β = 90.00°, γ = 120.00°
Space group R-3m (No. 166, hexagonal axes)
Asymmetric unit:
Hf 0.0000 0.0000 0.0979
Zn 0.0000 0.0000 0.0000
Re 0.0000 0.0000 0.5000

Computed properties:
* energy: -96.597 eV for the cell shown
* N(E_F): 12.6 states/eV/cell

Material: Li4MgTl
Method: DFT, PBE
State: optimized geometry

a = 4.937 Å, b = 6.468 Å, c = 8.113 Å
α = 90.00°, β = 107.15°, γ = 90.00°
Space group P2_1/m (No. 11)
Asymmetric unit:
Li 0.044 0.250 0.098
Li 0.226 0.250 0.455
Li 0.351 0.546 0.697
Mg 0.158 0.750 0.316
Tl 0.471 0.250 0.947

Computed properties:
* energy above the lowest structure with this stoichiometry: 102 meV/atom
* N(E_F): 4.4 states/eV/cell

Material: ZrNiCl
Method: DFT, PBE
State: optimized geometry

a = 5.934 Å, b = 5.934 Å, c = 5.934 Å
α = 90.00°, β = 90.00°, γ = 90.00°
Space group F-43m (No. 216)
Asymmetric unit:
Zr 0.000 0.000 0.000
Ni 0.000 0.000 0.500
Cl 0.250 0.250 0.250

Computed properties:
* energy above the lowest structure with this stoichiometry: 595 meV/atom
* N(E_F): 13.8 states/eV/cell
* formation energy without anion corrections: 0.113 eV/atom